CsGaBi2I, relaxed, DFT GGA-PBE; uncorrected formation energy = 0.42 eV per atom
1.0
-4.713 -1.959 -3.432
4.321 -2.160 -4.702
0.267 -5.487 2.766
I Ga Bi Cs
1 1 2 1
Direct
0.000 0.000 0.000
0.500 0.500 0.500
0.000 0.000 0.500
0.500 0.000 0.000
0.000 0.500 0.000